Arrangement A

AcPmAlCd after structural relaxation, computed with PBE.

The space group is F-43m (No. 216) and the conventional cell measures 7.817, 7.817 and 7.817 Å, with angles of 90.00, 90.00 and 90.00 degrees. Symmetry generates all atoms from Ac at (0.000, 0.000, 0.000), Pm at (0.000, 0.000, 0.500), Al at (0.250, 0.250, 0.250) and Cd at (0.250, 0.250, 0.750).

The density of states at the Fermi level is 20.37 states/eV per cell. The total moment is 0.00 μB per formula unit. The calculation puts the calculated density at 7.1 Mg/m³. The calculation puts the calculated volume at 29.9 A^3/atom.

***

Arrangement B

AcPmAlCd after structural relaxation, computed with PBE.

The space group is P4mm (No. 99) and the conventional cell measures 3.839, 3.839 and 7.990 Å, with angles of 90.00, 90.00 and 90.00 degrees. Symmetry generates all atoms from Ac at (0.000, 0.000, 0.000), Pm at (0.000, 0.000, 0.472), Al at (0.500, 0.500, 0.257) and Cd at (0.500, 0.500, 0.707).

The density of states at the Fermi level is 2.94 states/eV per cell. The total moment is 0.00 μB per formula unit. The calculation puts the calculated density at 7.2 Mg/m³. The calculation puts the calculated volume at 29.4 A^3/atom.

***

Short version: arrangement B is the most stable of them.

***

Arrangement A

AcPrAlCd after structural relaxation, computed with PBE.

The space group is F-43m (No. 216) and the conventional cell measures 7.863, 7.863 and 7.863 Å, with angles of 90.00, 90.00 and 90.00 degrees. Symmetry generates all atoms from Ac at (0.000, 0.000, 0.000), Pr at (0.000, 0.000, 0.500), Al at (0.250, 0.250, 0.250) and Cd at (0.250, 0.250, 0.750).

The density of states at the Fermi level is 19.96 states/eV per cell. The total moment is 0.00 μB per formula unit. The calculation puts the calculated density at 6.9 Mg/m³. The calculation puts the calculated volume at 30.4 A^3/atom.

***

Arrangement B

AcPrAlCd after structural relaxation, computed with PBE.

The space group is P4mm (No. 99) and the conventional cell measures 3.855, 3.855 and 8.084 Å, with angles of 90.00, 90.00 and 90.00 degrees. Symmetry generates all atoms from Ac at (0.000, 0.000, 0.000), Pr at (0.000, 0.000, 0.472), Al at (0.500, 0.500, 0.253) and Cd at (0.500, 0.500, 0.714).

The density of states at the Fermi level is 2.91 states/eV per cell. The total moment is 0.00 μB per formula unit. The calculation puts the calculated density at 7.0 Mg/m³. The calculation puts the calculated volume at 30.0 A^3/atom.

***

Short version: arrangement B is the most stable of them.

***

Arrangement A

AcCe2Al after structural relaxation, computed with PBE.

The space group is P4/mmm (No. 123) and the conventional cell measures 4.832, 4.832 and 5.021 Å, with angles of 90.00, 90.00 and 90.00 degrees. Symmetry generates all atoms from Ac at (0.000, 0.000, 0.000), Ce at (0.000, 0.500, 0.500) and Al at (0.500, 0.500, 0.000).

The density of states at the Fermi level is 11.29 states/eV per cell. The total moment is 1.86 μB per formula unit. The calculation puts the calculated density at 7.6 Mg/m³. The calculation puts the calculated volume at 29.3 A^3/atom.

***

Arrangement B

AcCe2Al after structural relaxation, computed with PBE.

The space group is P4/mmm (No. 123) and the conventional cell measures 3.725, 3.725 and 8.723 Å, with angles of 90.00, 90.00 and 90.00 degrees. Symmetry generates all atoms from Ac at (0.000, 0.000, 0.000), Ce at (0.500, 0.500, 0.299) and Al at (0.000, 0.000, 0.500).

The density of states at the Fermi level is 11.44 states/eV per cell. The total moment is 1.58 μB per formula unit. The calculation puts the calculated density at 7.3 Mg/m³. The calculation puts the calculated volume at 30.3 A^3/atom.

***

Arrangement C

AcCe2Al after structural relaxation, computed with PBE.

The space group is Fm-3m (No. 225) and the conventional cell measures 7.814, 7.814 and 7.814 Å, with angles of 90.00, 90.00 and 90.00 degrees. Symmetry generates all atoms from Ac at (0.000, 0.000, 0.000), Ce at (0.250, 0.250, 0.250) and Al at (0.000, 0.000, 0.500).

The density of states at the Fermi level is 58.92 states/eV per cell. The total moment is 2.46 μB per formula unit. The calculation puts the calculated density at 7.4 Mg/m³. The calculation puts the calculated volume at 29.8 A^3/atom.

***

Short version: arrangement B is the most stable of them.

***

Arrangement A

AcAl3Co after structural relaxation, computed with PBE.

The space group is Pnma (No. 62) and the conventional cell measures 8.450, 4.145 and 11.186 Å, with angles of 90.00, 90.00 and 90.00 degrees. Symmetry generates all atoms from Ac at (0.175, 0.250, 0.002), Al at (0.048, 0.250, 0.578), Al at (0.123, 0.750, 0.762), Al at (0.138, 0.750, 0.230) and Co at (0.111, 0.250, 0.357).

The density of states at the Fermi level is 12.46 states/eV per cell. The total moment is 0.00 μB per formula unit. The calculation puts the calculated density at 6.2 Mg/m³. The calculation puts the calculated volume at 19.6 A^3/atom.

***

Arrangement B

AcAl3Co after structural relaxation, computed with PBE.

The space group is Pm-3m (No. 221) and the conventional cell measures 4.669, 4.669 and 4.669 Å, with angles of 90.00, 90.00 and 90.00 degrees. Symmetry generates all atoms from Ac at (0.000, 0.000, 0.000), Al at (0.000, 0.500, 0.500) and Co at (0.500, 0.500, 0.500).

The density of states at the Fermi level is 3.41 states/eV per cell. The total moment is 0.00 μB per formula unit. The calculation puts the calculated density at 6.0 Mg/m³. The calculation puts the calculated volume at 20.4 A^3/atom.

***

Short version: arrangement A is the most stable of them.

***

Arrangement A

AcAl2Cu after structural relaxation, computed with PBE.

The space group is R-3m (No. 166, hexagonal axes) and the conventional cell measures 4.2437, 4.2437 and 17.7417 Å, with angles of 90.00, 90.00 and 120.00 degrees. Symmetry generates all atoms from Ac at (0.0000, 0.0000, 0.0000), Al at (0.0000, 0.0000, 0.2032) and Cu at (0.0000, 0.0000, 0.5000).

The density of states at the Fermi level is 7.17 states/eV per cell. The total moment is 0.00 μB per formula unit. The calculation puts the calculated density at 6.2 Mg/m³. The calculation puts the calculated volume at 23.1 A^3/atom.

***

Arrangement B

AcAl2Cu after structural relaxation, computed with PBE.

The space group is Cmcm (No. 63) and the conventional cell measures 4.408, 18.391 and 4.470 Å, with angles of 90.00, 90.00 and 90.00 degrees. Symmetry generates all atoms from Ac at (0.000, 0.110, 0.250), Al at (0.000, 0.249, 0.750), Al at (0.000, 0.461, 0.250) and Cu at (0.000, 0.322, 0.250).

The density of states at the Fermi level is 12.36 states/eV per cell. The total moment is 0.00 μB per formula unit. The calculation puts the calculated density at 6.3 Mg/m³. The calculation puts the calculated volume at 22.7 A^3/atom.

***

Short version: arrangement B is the most stable of them.

***

Arrangement A

Ac2Al5Cu4 after structural relaxation, computed with PBE.

The space group is Fmmm (No. 69) and the conventional cell measures 5.729, 10.014 and 15.084 Å, with angles of 90.00, 90.00 and 90.00 degrees. Symmetry generates all atoms from Ac at (0.000, 0.000, 0.135), Al at (0.000, 0.000, 0.500), Al at (0.250, 0.250, 0.000), Al at (0.250, 0.250, 0.250) and Cu at (0.000, 0.145, 0.366).

The density of states at the Fermi level is 19.60 states/eV per cell. The total moment is 0.00 μB per formula unit. The calculation puts the calculated density at 6.5 Mg/m³. The calculation puts the calculated volume at 19.7 A^3/atom.

***

Arrangement B

Ac2Al5Cu4 after structural relaxation, computed with PBE.

The space group is C2/m (No. 12) and the conventional cell measures 12.675, 5.489 and 8.450 Å, with angles of 90.00, 130.47 and 90.00 degrees. Symmetry generates all atoms from Ac at (0.222, 0.000, 0.278), Al at (0.000, 0.500, 0.000), Al at (0.042, 0.250, 0.756), Cu at (0.120, 0.000, 0.564) and Cu at (0.233, 0.500, 0.057).

The density of states at the Fermi level is 8.90 states/eV per cell. The total moment is 0.00 μB per formula unit. The calculation puts the calculated density at 6.3 Mg/m³. The calculation puts the calculated volume at 20.3 A^3/atom.

***

Short version: arrangement A is the most stable of them.

***

Arrangement A

Ac2AlCu2 after structural relaxation, computed with PBE.

The space group is C2/c (No. 15) and the conventional cell measures 10.568, 6.092 and 8.007 Å, with angles of 90.00, 103.45 and 90.00 degrees. Symmetry generates all atoms from Ac at (0.154, 0.119, 0.158), Al at (0.000, 0.367, 0.750) and Cu at (0.116, 0.384, 0.500).

The density of states at the Fermi level is 14.73 states/eV per cell. The total moment is 0.00 μB per formula unit. The calculation puts the calculated density at 8.1 Mg/m³. The calculation puts the calculated volume at 25.1 A^3/atom.

***

Arrangement B

Ac2AlCu2 after structural relaxation, computed with PBE.

The space group is C2/m (No. 12) and the conventional cell measures 12.194, 4.309 and 11.040 Å, with angles of 90.00, 118.54 and 90.00 degrees. Symmetry generates all atoms from Ac at (0.011, 0.000, 0.177), Ac at (0.184, 0.000, 0.610), Al at (0.231, 0.500, 0.890), Cu at (0.002, 0.500, 0.382) and Cu at (0.141, 0.500, 0.058).

The density of states at the Fermi level is 15.38 states/eV per cell. The total moment is 0.00 μB per formula unit. The calculation puts the calculated density at 7.9 Mg/m³. The calculation puts the calculated volume at 25.5 A^3/atom.

***

Short version: arrangement A is the most stable of them.

***

Arrangement A

Ac3Al8Cu3 after structural relaxation, computed with PBE.

The space group is Immm (No. 71) and the conventional cell measures 4.547, 10.349 and 12.754 Å, with angles of 90.00, 90.00 and 90.00 degrees. Symmetry generates all atoms from Ac at (0.000, 0.000, 0.000), Ac at (0.000, 0.000, 0.316), Al at (0.000, 0.285, 0.117), Al at (0.000, 0.358, 0.334), Cu at (0.000, 0.230, 0.500) and Cu at (0.000, 0.500, 0.000).

The density of states at the Fermi level is 16.52 states/eV per cell. The total moment is 0.00 μB per formula unit. The calculation puts the calculated density at 6.0 Mg/m³. The calculation puts the calculated volume at 21.4 A^3/atom.

***

Arrangement B

Ac3Al8Cu3 after structural relaxation, computed with PBE.

The space group is C2/m (No. 12) and the conventional cell measures 16.464, 4.532 and 10.003 Å, with angles of 90.00, 126.69 and 90.00 degrees. Symmetry generates all atoms from Ac at (0.000, 0.000, 0.000), Ac at (0.197, 0.500, 0.690), Al at (0.003, 0.500, 0.293), Al at (0.133, 0.000, 0.850), Al at (0.139, 0.000, 0.414), Al at (0.161, 0.500, 0.032), Cu at (0.000, 0.000, 0.500) and Cu at (0.160, 0.500, 0.304).

The density of states at the Fermi level is 18.14 states/eV per cell. The total moment is 0.00 μB per formula unit. The calculation puts the calculated density at 6.0 Mg/m³. The calculation puts the calculated volume at 21.4 A^3/atom.

***

Short version: arrangement A is the most stable of them.

***

Arrangement A

AcAl9Cu2 after structural relaxation, computed with PBE.

The space group is I4_1/amd (No. 141, origin choice 2) and the conventional cell measures 10.850, 10.850 and 7.200 Å, with angles of 90.00, 90.00 and 90.00 degrees. Symmetry generates all atoms from Ac at (0.000, 0.250, 0.375), Al at (0.000, 0.250, 0.875), Al at (0.124, 0.049, 0.687) and Cu at (0.000, 0.000, 0.000).

The density of states at the Fermi level is 19.51 states/eV per cell. The total moment is 0.00 μB per formula unit. The calculation puts the calculated density at 4.7 Mg/m³. The calculation puts the calculated volume at 17.7 A^3/atom.

***

Arrangement B

AcAl9Cu2 after structural relaxation, computed with PBE.

The space group is P6/mmm (No. 191) and the conventional cell measures 8.0894, 8.0894 and 3.9193 Å, with angles of 90.00, 90.00 and 120.00 degrees. Symmetry generates all atoms from Ac at (0.0000, 0.0000, 0.0000), Al at (0.0000, 0.5000, 0.0000), Al at (0.2082, 0.4164, 0.5000) and Cu at (0.3333, 0.6667, 0.0000).

The density of states at the Fermi level is 7.03 states/eV per cell. The total moment is 0.00 μB per formula unit. The calculation puts the calculated density at 4.5 Mg/m³. The calculation puts the calculated volume at 18.5 A^3/atom.

***

Short version: arrangement A is the most stable of them.

***

Arrangement A

Ac3Al3Cu2 after structural relaxation, computed with PBE.

The space group is Pnma (No. 62) and the conventional cell measures 8.698, 15.916 and 5.914 Å, with angles of 90.00, 90.00 and 90.00 degrees. Symmetry generates all atoms from Ac at (0.045, 0.110, 0.114), Ac at (0.195, 0.250, 0.586), Al at (0.157, 0.750, 0.570), Al at (0.182, 0.034, 0.613) and Cu at (0.103, 0.599, 0.379).

The density of states at the Fermi level is 24.96 states/eV per cell. The total moment is 0.00 μB per formula unit. The calculation puts the calculated density at 7.2 Mg/m³. The calculation puts the calculated volume at 25.6 A^3/atom.

***

Arrangement B

Ac3Al3Cu2 after structural relaxation, computed with PBE.

The space group is Cmcm (No. 63) and the conventional cell measures 4.294, 11.732 and 16.312 Å, with angles of 90.00, 90.00 and 90.00 degrees. Symmetry generates all atoms from Ac at (0.000, 0.045, 0.108), Ac at (0.000, 0.349, 0.250), Al at (0.000, 0.318, 0.034), Al at (0.000, 0.360, 0.750) and Cu at (0.000, 0.244, 0.612).

The density of states at the Fermi level is 27.07 states/eV per cell. The total moment is 0.00 μB per formula unit. The calculation puts the calculated density at 7.2 Mg/m³. The calculation puts the calculated volume at 25.7 A^3/atom.

***

Short version: arrangement B is the most stable of them.